No. 1
VASP calculation (PBE) on an optimized crystal structure of InIr2Se.

Output
polymorph energy (0 for the lowest one) = 296 meV per atom
total DFT energy (no corrections) = -44.2 eV/cell
ΔE_f (raw) = 0.4639 eV/atom

The structure in CIF format:
```
data_InIr2Se
_chemical_formula_sum 'In2 Ir4 Se2'
_cell_length_a 2.9443
_cell_length_b 5.1456
_cell_length_c 9.0636
_cell_angle_alpha 90.00
_cell_angle_beta 90.00
_cell_angle_gamma 90.00
_symmetry_space_group_name_H-M 'C m m m'
_symmetry_Int_Tables_number 65
_symmetry_space_group_name_Hall '-C 2 2'
loop_
_atom_site_label
_atom_site_fract_x
_atom_site_fract_y
_atom_site_fract_z
_atom_site_occupancy
In1 0.0000 0.0000 0.0000 1
Ir1 0.0000 0.5000 0.2532 1
Se1 0.0000 0.0000 0.5000 1
```



No. 2
VASP calculation (PBE) on an optimized crystal structure of KCu2Br.

Output
polymorph energy (0 for the lowest one) = 11 meV per atom
total DFT energy (no corrections) = -11.5 eV/cell
ΔE_f (raw) = -0.1400 eV/atom

The structure in CIF format:
```
data_KCu2Br
_chemical_formula_sum 'K1 Cu2 Br1'
_cell_length_a 3.5824
_cell_length_b 3.5120
_cell_length_c 7.4899
_cell_angle_alpha 90.00
_cell_angle_beta 103.61
_cell_angle_gamma 90.00
_symmetry_space_group_name_H-M 'P 1 m 1'
_symmetry_Int_Tables_number 6
loop_
_symmetry_equiv_pos_as_xyz
'x,y,z'
'x,-y,z'
loop_
_atom_site_label
_atom_site_fract_x
_atom_site_fract_y
_atom_site_fract_z
_atom_site_occupancy
K1 0.0000 0.0000 0.0000 1
Cu1 0.2214 0.0000 0.4412 1
Cu2 0.6845 0.5000 0.3658 1
Br1 0.3679 0.5000 0.7318 1
```



No. 3
VASP calculation (PBE) on an optimized crystal structure of LiMn4S7.

Output
total DFT energy (no corrections) = -75.0 eV/cell
ΔE_f (raw) = -0.6235 eV/atom

The structure in CIF format:
```
data_LiMn4S7
_chemical_formula_sum 'Li1 Mn4 S7'
_cell_length_a 3.3988
_cell_length_b 3.3988
_cell_length_c 21.1355
_cell_angle_alpha 90.00
_cell_angle_beta 90.00
_cell_angle_gamma 120.00
_symmetry_space_group_name_H-M 'P -3 m 1'
_symmetry_Int_Tables_number 164
_symmetry_space_group_name_Hall '-P 3 2"'
loop_
_atom_site_label
_atom_site_fract_x
_atom_site_fract_y
_atom_site_fract_z
_atom_site_occupancy
Li1 0.0000 0.0000 0.0000 1
Mn1 0.3333 0.6667 0.1430 1
Mn2 0.3333 0.6667 0.4251 1
S1 0.0000 0.0000 0.2027 1
S2 0.0000 0.0000 0.5000 1
S3 0.3333 0.6667 0.6347 1
S4 0.3333 0.6667 0.9206 1
```



No. 4
VASP calculation (PBE) on an optimized crystal structure of Nb3PRh.

Output
polymorph energy (0 for the lowest one) = 0 meV per atom
total DFT energy (no corrections) = -41.6 eV/cell
formation energy from the elements = 0.27 eV/atom

The structure in CIF format:
```
data_Nb3PRh
_chemical_formula_sum 'Nb3 P1 Rh1'
_cell_length_a 4.5611
_cell_length_b 4.5611
_cell_length_c 4.5611
_cell_angle_alpha 90.00
_cell_angle_beta 90.00
_cell_angle_gamma 90.00
_symmetry_space_group_name_H-M 'P m -3 m'
_symmetry_Int_Tables_number 221
_symmetry_space_group_name_Hall '-P 4 2 3'
loop_
_atom_site_label
_atom_site_fract_x
_atom_site_fract_y
_atom_site_fract_z
_atom_site_occupancy
Nb1 0.0000 0.0000 0.5000 1
P1 0.0000 0.0000 0.0000 1
Rh1 0.5000 0.5000 0.5000 1
```



No. 5
VASP calculation (PBE) on an optimized crystal structure of CsMnGa2Br8.

Output
total DFT energy (no corrections) = -120.5 eV/cell
ΔE_f (raw) = -0.8926 eV/atom

The structure in CIF format:
```
data_CsMnGa2Br8
_chemical_formula_sum 'Cs3 Mn3 Ga6 Br24'
_cell_length_a 6.8898
_cell_length_b 6.8898
_cell_length_c 30.5391
_cell_angle_alpha 90.00
_cell_angle_beta 90.00
_cell_angle_gamma 120.00
_symmetry_space_group_name_H-M 'R -3'
_symmetry_Int_Tables_number 148
_symmetry_space_group_name_Hall '-R 3'
loop_
_atom_site_label
_atom_site_fract_x
_atom_site_fract_y
_atom_site_fract_z
_atom_site_occupancy
Cs1 0.0000 0.0000 0.0000 1
Mn1 0.0000 0.0000 0.5000 1
Ga1 0.0000 0.0000 0.2415 1
Br1 0.0000 0.0000 0.3204 1
Br2 0.0025 0.3187 0.5517 1
```



No. 6
VASP calculation (PBE) on an optimized crystal structure of GaHg2PbF8.

Output
total DFT energy (no corrections) = -45.7 eV/cell
ΔE_f (raw) = -1.9468 eV/atom

The structure in CIF format:
```
data_GaHg2PbF8
_chemical_formula_sum 'Ga1 Hg2 Pb1 F8'
_cell_length_a 5.2216
_cell_length_b 7.0095
_cell_length_c 5.6228
_cell_angle_alpha 90.00
_cell_angle_beta 90.26
_cell_angle_gamma 90.00
_symmetry_space_group_name_H-M 'P 1 2/m 1'
_symmetry_Int_Tables_number 10
loop_
_symmetry_equiv_pos_as_xyz
'x,y,z'
'-x,-y,-z'
'-x,y,-z'
'x,-y,z'
loop_
_atom_site_label
_atom_site_fract_x
_atom_site_fract_y
_atom_site_fract_z
_atom_site_occupancy
Ga1 0.0000 0.0000 0.0000 1
Hg1 0.5000 0.2183 0.5000 1
Pb1 0.0000 0.5000 0.0000 1
F1 0.1492 0.2008 0.8045 1
F2 0.2917 0.0000 0.2037 1
F3 0.3528 0.5000 0.2937 1
```



Which value of total DFT energy (no corrections) does entry 6 give? -45.7 eV/cell



What is the total DFT energy (no corrections) in the second record? -11.5 eV/cell



total DFT energy (no corrections) of number 2 (KCu2Br)? -11.5 eV/cell